A plane-wave DFT calculation with PBE was carried out for ZrBr after structural relaxation.

formation energy (no corrections) = -1.076 eV/f.u.
spin magnetization = 0.000 μB/atom
polymorph energy (0 for the lowest one) = 451 meV per atom

The structure in POSCAR format:
```
ZrBr
1.0
4.0960 0.0000 0.0000
0.0000 4.0960 0.0000
0.0000 0.0000 7.0572
Zr Br
2 2
Cartesian
1.0240 3.0720 0.0000 Zr
3.0720 1.0240 0.0000 Zr
1.0240 1.0240 1.9996 Br
3.0720 3.0720 5.0576 Br
```